Entry 1:
Nd3Sm2Tl3 | PBE | relaxed

Structure (extended XYZ):
```
8
Lattice="-2.261 2.539 10.631 2.261 -2.539 10.631 2.261 2.539 -10.631" Properties=species:S:1:pos:R:3 pbc="T T T"
Nd 0.000 0.000 0.000
Nd 2.261 0.000 8.094
Nd 0.000 2.539 2.536
Sm 0.000 0.000 5.038
Sm 0.000 0.000 16.224
Tl 2.261 0.000 2.716
Tl 0.000 0.000 10.631
Tl 0.000 2.539 7.914
```

Calculated values
Formation enthalpy at 0 K in meV per atom: -276.0
Space-group type: Immm (71)
Spin magnetization in μB/f.u.: 0.00

***

Entry 2:
NdSm6Tl | PBE | relaxed

Structure (extended XYZ):
```
8
Lattice="4.992 0.000 0.000 0.000 4.992 0.000 0.000 0.000 10.342" Properties=species:S:1:pos:R:3 pbc="T T T"
Nd 0.000 0.000 0.000
Sm 0.000 2.496 2.663
Sm 0.000 2.496 7.678
Sm 2.496 0.000 2.663
Sm 2.496 0.000 7.678
Sm 2.496 2.496 0.000
Sm 2.496 2.496 5.171
Tl 0.000 0.000 5.171
```

Calculated values
Formation enthalpy at 0 K in meV per atom: -76.7
Space-group type: P4/mmm (123)
Spin magnetization in μB/f.u.: 0.00
Energy above the most stable polymorph in this dataset in meV per atom: 0

***

Number 1: calculated density 9.16 Mg/m³, D(E_F) 1.08 states/eV per atom. Number 2: calculated density 8.06 Mg/m³, D(E_F) 1.19 states/eV per atom.